A.
Compound: PuZrRh4
Source: Alexandria
Functional: GGA-PBE
Structure: relaxed

Structure (extended XYZ):
```
6
Lattice="4.388 0.000 -0.002 0.000 4.388 -0.003 0.003 0.003 6.080" Properties=species:S:1:pos:R:3 pbc="T T T"
Pu 2.202 2.185 6.067
Zr 0.007 4.378 3.025
Rh 2.200 4.377 1.495
Rh 2.202 4.379 4.555
Rh 0.008 2.185 4.557
Rh 0.007 2.182 1.498
```

Computed properties:
* ρ: 10.59 g/cm3
* V: 117.1 Å³ per cell
* total magnetic moment: 3.76 μB per formula unit

B.
Compound: PuZrRh4
Source: Alexandria
Functional: GGA-PBE
Structure: relaxed

Structure (extended XYZ):
```
24
Lattice="2.963 0.000 0.000 0.000 7.488 0.000 0.000 0.000 18.803" Properties=species:S:1:pos:R:3 pbc="T T T"
Pu 2.223 5.942 14.896
Pu 0.741 1.546 3.907
Pu 0.741 5.290 5.494
Pu 2.223 2.198 13.308
Zr 2.223 1.517 8.652
Zr 0.741 5.971 10.151
Zr 0.741 2.227 18.053
Zr 2.223 5.261 0.749
Rh 2.223 6.952 12.330
Rh 0.741 0.536 6.472
Rh 0.741 4.280 2.929
Rh 2.223 3.208 15.874
Rh 2.223 6.206 7.831
Rh 0.741 1.282 10.971
Rh 0.741 5.026 17.233
Rh 2.223 2.462 1.570
Rh 2.223 7.393 17.627
Rh 0.741 0.095 1.175
Rh 0.741 3.839 8.226
Rh 2.223 3.649 10.577
Rh 2.223 6.648 3.322
Rh 0.741 0.840 15.480
Rh 0.741 4.584 12.724
Rh 2.223 2.904 6.079
```

Computed properties:
* ρ: 11.89 g/cm3
* V: 417.2 Å³ per cell
* total magnetic moment: 4.64 μB per formula unit

Stability ranking, top entry: B; the second entry is 14.4 kJ/mol of atoms less favorable.

A.
Compound: Pu5Ru4
Source: Alexandria
Functional: GGA-PBE
Structure: relaxed

Structure (extended XYZ):
```
9
Lattice="-2.686 0.520 -2.252 -5.160 -1.134 4.383 -0.729 6.763 0.920" Properties=species:S:1:pos:R:3 pbc="T T T"
Pu -0.744 6.737 0.932
Pu -2.191 4.158 2.063
Pu -3.683 1.499 3.228
Pu -3.084 6.507 1.845
Pu -2.537 4.908 -1.102
Ru -4.861 3.932 2.726
Ru -6.345 1.288 3.885
Ru -5.192 -0.414 1.479
Ru -3.708 2.230 0.320
```

Computed properties:
* ρ: 16.48 g/cm3
* V: 163.7 Å³ per cell
* total magnetic moment: 4.19 μB per formula unit

B.
Compound: Pu5Ru4
Source: Alexandria
Functional: GGA-PBE
Structure: relaxed

Structure (extended XYZ):
```
9
Lattice="-1.916 -2.148 3.232 3.231 -0.766 4.304 -2.398 6.595 5.859" Properties=species:S:1:pos:R:3 pbc="T T T"
Pu -0.999 3.571 4.679
Pu -0.085 0.110 8.716
Pu -1.265 3.270 10.117
Pu 0.181 0.411 3.278
Pu 0.000 0.000 0.000
Ru -2.151 4.569 7.556
Ru 1.068 -0.888 5.838
Ru -0.028 2.758 7.612
Ru -1.056 0.923 5.783
```

Computed properties:
* ρ: 14.29 g/cm3
* V: 188.7 Å³ per cell
* total magnetic moment: 4.36 μB per formula unit

Stability ranking, top entry: B; the second entry is 5.3 kJ/mol of atoms less favorable.

A.
Compound: Pu4Ru3
Source: Alexandria
Functional: GGA-PBE
Structure: relaxed

Structure (extended XYZ):
```
14
Lattice="-0.025 -7.034 -1.780 1.319 0.693 7.101 -6.462 2.911 -1.556" Properties=species:S:1:pos:R:3 pbc="T T T"
Pu 0.650 -2.214 2.903
Pu -2.763 -1.809 0.917
Pu -2.352 1.060 -0.566
Pu -0.715 -3.984 -0.378
Pu -5.583 2.515 -1.344
Pu -3.274 1.336 3.285
Pu 0.638 -5.731 2.013
Pu -2.104 -1.462 4.468
Ru -1.124 0.109 2.052
Ru -4.680 -1.329 2.852
Ru -3.731 -4.162 -0.754
Ru 0.340 -0.788 5.574
Ru -1.617 -3.751 2.520
Ru -4.691 -0.368 -0.947
```

Computed properties:
* ρ: 14.45 g/cm3
* V: 294.1 Å³ per cell
* total magnetic moment: 18.75 μB per formula unit

B.
Compound: Pu4Ru3
Source: Alexandria
Functional: GGA-PBE
Structure: relaxed

Structure (extended XYZ):
```
14
Lattice="-2.609 -4.476 -3.021 5.499 2.474 -4.435 2.502 -3.064 6.347" Properties=species:S:1:pos:R:3 pbc="T T T"
Pu -1.304 -2.238 -1.510
Pu 0.000 0.000 0.000
Pu 2.916 -4.127 -2.363
Pu 1.804 -0.987 -2.087
Pu 4.859 0.270 -2.615
Pu 2.475 -0.939 1.253
Pu 3.588 -4.079 0.977
Pu 0.533 -5.336 1.506
Ru 4.865 -1.840 2.458
Ru 1.853 -3.128 2.991
Ru 1.149 -3.209 -0.246
Ru 0.527 -3.226 -3.568
Ru 3.538 -1.938 -4.101
Ru 4.243 -1.856 -0.864
```

Computed properties:
* ρ: 15.74 g/cm3
* V: 270.0 Å³ per cell
* total magnetic moment: 13.34 μB per formula unit

Stability ranking, top entry: B; the second entry is 2.0 kJ/mol of atoms less favorable.

A.
Compound: Pu2SbRu
Source: Alexandria
Functional: GGA-PBE
Structure: relaxed

Structure (extended XYZ):
```
4
Lattice="-1.830 0.998 3.295 3.333 -0.405 1.974 2.028 5.541 -0.553" Properties=species:S:1:pos:R:3 pbc="T T T"
Pu 1.967 3.624 2.820
Pu 1.326 0.636 3.370
Sb 0.895 1.834 0.461
Ru 1.909 4.605 0.184
```

Computed properties:
* ρ: 13.26 g/cm3
* V: 89.0 Å³ per cell
* total magnetic moment: 9.86 μB per formula unit

B.
Compound: Pu2SbRu
Source: Alexandria
Functional: GGA-PBE
Structure: relaxed

Structure (extended XYZ):
```
4
Lattice="3.862 0.000 0.000 0.000 3.862 0.000 0.000 0.000 5.892" Properties=species:S:1:pos:R:3 pbc="T T T"
Sb 1.931 1.931 2.946
Ru 1.931 1.931 0.000
Pu 0.000 0.000 4.504
Pu 0.000 0.000 1.388
```

Computed properties:
* ρ: 13.43 g/cm3
* V: 87.9 Å³ per cell
* total magnetic moment: 9.89 μB per formula unit

C.
Compound: Pu2SbRu
Source: Alexandria
Functional: GGA-PBE
Structure: relaxed

Structure (extended XYZ):
```
4
Lattice="-4.072 1.172 -0.934 0.069 -2.639 -3.615 -1.544 -3.408 2.458" Properties=species:S:1:pos:R:3 pbc="T T T"
Sb -2.773 -2.438 -1.045
Ru -2.036 0.586 -0.467
Pu -0.772 -1.704 1.229
Pu 0.035 -1.320 -1.808
```

Computed properties:
* ρ: 13.58 g/cm3
* V: 86.9 Å³ per cell
* total magnetic moment: 10.23 μB per formula unit

Stability ranking, top entry: A; the second entry is 1.3 kJ/mol of atoms less favorable.

A.
Compound: Pu3Sb2Ru
Source: Alexandria
Functional: GGA-PBE
Structure: relaxed

Structure (extended XYZ):
```
24
Lattice="-1.440 2.045 3.562 7.803 -4.749 5.883 7.818 9.795 -2.462" Properties=species:S:1:pos:R:3 pbc="T T T"
Pu 3.165 -0.925 3.141
Pu 11.016 8.015 3.842
Pu 9.493 1.666 6.872
Pu 4.688 5.425 0.110
Pu 7.374 -0.494 4.596
Pu 6.806 7.585 2.386
Pu 2.684 2.817 3.457
Pu 11.496 4.274 3.525
Pu 6.129 2.031 2.643
Pu 8.051 5.060 4.339
Pu 7.343 -1.786 7.984
Pu 6.837 8.877 -1.002
Sb 9.161 2.133 3.810
Sb 5.019 4.958 3.172
Sb 8.298 10.239 1.466
Sb 5.882 -3.148 5.516
Sb 2.229 3.348 0.308
Sb 11.952 3.742 6.674
Sb 4.578 0.954 5.293
Sb 9.603 6.137 1.689
Ru 1.745 0.934 1.499
Ru 12.436 6.157 5.483
Ru 7.004 2.186 5.567
Ru 7.176 4.905 1.416
```

Computed properties:
* ρ: 11.84 g/cm3
* V: 604.0 Å³ per cell
* total magnetic moment: 5.26 μB per formula unit

B.
Compound: Pu3Sb2Ru
Source: Alexandria
Functional: GGA-PBE
Structure: relaxed

Structure (extended XYZ):
```
12
Lattice="-1.837 -5.018 3.569 3.644 -3.821 -3.497 4.392 5.537 4.262" Properties=species:S:1:pos:R:3 pbc="T T T"
Pu 2.720 -2.996 0.374
Pu 3.478 -0.307 3.960
Pu 6.126 0.038 0.608
Pu 0.072 -3.341 3.726
Pu 1.814 -5.375 -0.838
Pu -0.008 -3.464 0.910
Sb 1.069 -0.772 1.957
Sb 5.130 -2.531 2.377
Sb 4.354 2.237 2.093
Sb 1.844 -5.539 2.240
Ru 0.911 -0.955 -0.874
Ru 2.733 -2.865 -2.622
```

Computed properties:
* ρ: 12.71 g/cm3
* V: 281.2 Å³ per cell
* total magnetic moment: 4.95 μB per formula unit

Stability ranking, top entry: A; the second entry is 16.2 kJ/mol of atoms less favorable.

A.
Compound: Pu2ScRu3
Source: Alexandria
Functional: GGA-PBE
Structure: relaxed

Structure (extended XYZ):
```
6
Lattice="3.299 0.000 0.000 0.000 3.299 0.000 0.000 0.000 10.109" Properties=species:S:1:pos:R:3 pbc="T T T"
Pu 1.650 1.650 8.363
Pu 1.650 1.650 1.745
Sc 1.650 1.650 5.054
Ru 0.000 0.000 0.000
Ru 0.000 0.000 6.676
Ru 0.000 0.000 3.433
```

Computed properties:
* ρ: 12.62 g/cm3
* V: 110.0 Å³ per cell
* total magnetic moment: 8.49 μB per formula unit

B.
Compound: Pu2ScRu3
Source: Alexandria
Functional: GGA-PBE
Structure: relaxed

Structure (extended XYZ):
```
6
Lattice="-2.395 -0.907 -2.111 2.918 -3.081 -1.988 -3.599 -3.433 5.559" Properties=species:S:1:pos:R:3 pbc="T T T"
Pu -1.440 -3.347 3.072
Pu -1.636 -4.074 -1.612
Sc 0.000 0.000 0.000
Ru 0.262 -1.994 -2.049
Ru -1.172 -5.327 1.010
Ru -1.903 -2.093 0.450
```

Computed properties:
* ρ: 12.61 g/cm3
* V: 110.1 Å³ per cell
* total magnetic moment: 8.34 μB per formula unit

Stability ranking, top entry: B; the second entry is 0.8 kJ/mol of atoms less favorable.

A.
Compound: Sm3PuRu2
Source: Alexandria
Functional: GGA-PBE
Structure: relaxed

Structure (extended XYZ):
```
12
Lattice="-1.205 -2.153 3.310 -3.241 -7.151 -3.257 7.164 -7.555 0.267" Properties=species:S:1:pos:R:3 pbc="T T T"
Sm 5.309 -6.828 0.065
Sm -2.591 -10.032 0.255
Sm 3.974 -13.770 0.212
Sm -1.255 -3.090 0.108
Sm 0.684 -12.051 0.133
Sm 2.035 -4.809 0.187
Pu 2.665 -9.172 0.153
Pu 0.053 -7.688 0.167
Ru 3.380 -11.280 1.616
Ru -0.662 -5.580 -1.296
Ru 3.008 -7.056 1.653
Ru -0.289 -9.803 -1.333
```

Computed properties:
* ρ: 9.00 g/cm3
* V: 330.9 Å³ per cell
* total magnetic moment: 5.01 μB per formula unit

B.
Compound: Sm3PuRu2
Source: Alexandria
Functional: GGA-PBE
Structure: relaxed

Structure (extended XYZ):
```
12
Lattice="6.239 0.000 0.000 0.000 6.914 -0.171 0.000 -0.167 6.915" Properties=species:S:1:pos:R:3 pbc="T T T"
Sm 1.560 6.393 0.351
Sm 4.679 0.355 6.393
Sm 1.560 0.370 3.983
Sm 4.679 6.378 2.761
Sm 1.560 2.765 6.377
Sm 4.679 3.983 0.367
Pu 1.560 3.864 2.881
Pu 4.679 2.884 3.862
Ru 0.000 1.892 1.891
Ru 3.119 4.856 4.853
Ru 0.000 4.856 4.853
Ru 3.119 1.892 1.891
```

Computed properties:
* ρ: 10.00 g/cm3
* V: 298.1 Å³ per cell
* total magnetic moment: 5.13 μB per formula unit

Stability ranking, top entry: B; the second entry is 6.9 kJ/mol of atoms less favorable.

A.
Compound: SmPuRu
Source: Alexandria
Functional: GGA-PBE
Structure: relaxed

Structure (extended XYZ):
```
3
Lattice="3.571 0.000 0.000 0.000 3.571 0.000 -1.785 -1.785 5.524" Properties=species:S:1:pos:R:3 pbc="T T T"
Ru 1.785 1.785 1.528
Sm 0.000 0.000 3.581
Pu 0.000 0.000 0.415
```

Computed properties:
* ρ: 11.68 g/cm3
* V: 70.4 Å³ per cell
* total magnetic moment: 4.97 μB per formula unit

B.
Compound: SmPuRu
Source: Alexandria
Functional: GGA-PBE
Structure: relaxed

Structure (extended XYZ):
```
6
Lattice="-2.441 -2.287 0.435 4.094 -4.826 -2.402 1.859 1.600 5.764" Properties=species:S:1:pos:R:3 pbc="T T T"
Sm -0.087 -2.435 -0.209
Sm 3.600 -3.079 4.007
Pu 2.834 -5.254 1.355
Pu 0.679 -0.260 2.442
Ru 2.667 -2.694 0.796
Ru 0.846 -2.819 3.002
```

Computed properties:
* ρ: 12.71 g/cm3
* V: 129.5 Å³ per cell
* total magnetic moment: 0.00 μB per formula unit

Stability ranking, top entry: A; the second entry is 14.4 kJ/mol of atoms less favorable.

A.
Compound: SmPuRu
Source: Alexandria
Functional: GGA-PBE
Structure: relaxed

Structure (extended XYZ):
```
12
Lattice="6.726 0.000 0.000 0.000 6.284 -2.113 0.000 0.032 7.240" Properties=species:S:1:pos:R:3 pbc="T T T"
Sm 1.048 1.801 -0.049
Sm 2.315 4.959 2.514
Sm 5.678 4.515 5.176
Sm 4.412 1.357 2.612
Pu 4.464 1.237 6.140
Pu 2.262 5.080 -1.014
Pu 1.101 1.954 3.663
Pu 5.625 4.363 1.463
Ru 3.675 3.217 0.351
Ru 3.051 3.099 4.775
Ru 6.414 0.091 5.028
Ru 0.312 6.225 0.099
```

Computed properties:
* ρ: 10.74 g/cm3
* V: 306.5 Å³ per cell
* total magnetic moment: 4.98 μB per formula unit

B.
Compound: SmPuRu
Source: Alexandria
Functional: GGA-PBE
Structure: relaxed

Structure (extended XYZ):
```
6
Lattice="3.382 -0.421 -0.107 -0.940 6.204 -0.206 -0.024 -1.859 6.933" Properties=species:S:1:pos:R:3 pbc="T T T"
Sm 0.679 3.629 3.786
Sm 2.038 0.488 4.847
Pu 0.687 4.490 0.390
Pu 2.054 1.487 1.310
Ru 0.121 -1.448 6.388
Ru 0.154 -0.218 2.557
```

Computed properties:
* ρ: 11.65 g/cm3
* V: 141.2 Å³ per cell
* total magnetic moment: 5.32 μB per formula unit

Stability ranking, top entry: A; the second entry is 4.3 kJ/mol of atoms less favorable.

A.
Compound: SmPuRu
Source: Alexandria
Functional: GGA-PBE
Structure: relaxed

Structure (extended XYZ):
```
3
Lattice="-4.575 -1.369 0.424 -1.901 -3.031 -3.192 -1.047 -4.497 1.292" Properties=species:S:1:pos:R:3 pbc="T T T"
Ru -1.881 -2.224 -0.369
Sm -3.762 -4.448 -0.738
Pu 0.000 0.000 0.000
```

Computed properties:
* ρ: 10.56 g/cm3
* V: 77.9 Å³ per cell
* total magnetic moment: 5.17 μB per formula unit

B.
Compound: SmPuRu
Source: Alexandria
Functional: GGA-PBE
Structure: relaxed

Structure (extended XYZ):
```
3
Lattice="3.450 0.000 0.000 0.000 4.754 0.000 0.000 -2.377 4.117" Properties=species:S:1:pos:R:3 pbc="T T T"
Ru 1.413 2.377 1.372
Sm 0.042 0.000 0.000
Pu 1.995 0.000 2.745
```

Computed properties:
* ρ: 12.18 g/cm3
* V: 67.5 Å³ per cell
* total magnetic moment: 5.40 μB per formula unit

Stability ranking, top entry: A; the second entry is 0.5 kJ/mol of atoms less favorable.

A.
Compound: Sm2PuRu3
Source: Alexandria
Functional: GGA-PBE
Structure: relaxed

Structure (extended XYZ):
```
6
Lattice="-2.295 -1.976 1.377 2.676 0.333 4.940 -3.979 6.390 -1.482" Properties=species:S:1:pos:R:3 pbc="T T T"
Sm -2.421 0.884 1.252
Sm -1.177 3.863 3.583
Pu 1.338 0.167 2.470
Ru -2.675 3.932 1.184
Ru 0.000 0.000 0.000
Ru -0.923 0.815 3.651
```

Computed properties:
* ρ: 10.84 g/cm3
* V: 129.9 Å³ per cell
* total magnetic moment: 3.22 μB per formula unit

B.
Compound: Sm2PuRu3
Source: Alexandria
Functional: GGA-PBE
Structure: relaxed

Structure (extended XYZ):
```
12
Lattice="5.847 0.000 0.000 -2.923 5.063 0.000 0.000 0.000 8.114" Properties=species:S:1:pos:R:3 pbc="T T T"
Sm 2.923 1.688 3.559
Sm 0.000 3.376 4.555
Sm 0.000 3.376 7.616
Sm 2.923 1.688 0.498
Pu 0.000 0.000 4.057
Pu 0.000 0.000 0.000
Ru 0.000 1.694 2.028
Ru 1.467 0.847 6.085
Ru 2.923 3.369 6.085
Ru -1.456 4.216 2.028
Ru 4.380 0.847 6.085
Ru 1.456 4.216 2.028
```

Computed properties:
* ρ: 11.72 g/cm3
* V: 240.2 Å³ per cell
* total magnetic moment: 2.88 μB per formula unit

Stability ranking, top entry: B; the second entry is 40.9 kJ/mol of atoms less favorable.